Pa3Fe5N12: relaxed, PBE-GGA.

uncorrected energy	-9.047	eV/atom
E_form (uncorrected)	-0.511	eV/atom

a b c (Å): 10.5204 10.5204 10.5204
angles (deg): 109.47 109.47 109.47
Sites, in units of the cell vectors:
Pa 0.1250 0.2500 0.3750
Pa 0.1250 0.3750 0.7500
Pa 0.2500 0.3750 0.1250
Pa 0.2500 0.8750 0.6250
Pa 0.3750 0.1250 0.2500
Pa 0.3750 0.7500 0.1250
Pa 0.6250 0.2500 0.8750
Pa 0.6250 0.8750 0.7500
Pa 0.7500 0.1250 0.3750
Pa 0.7500 0.6250 0.8750
Pa 0.8750 0.6250 0.2500
Pa 0.8750 0.7500 0.6250
Fe 0.0000 0.0000 0.0000
Fe 0.0000 0.0000 0.5000
Fe 0.0000 0.5000 0.0000
Fe 0.0000 0.5000 0.5000
Fe 0.1250 0.7500 0.8750
Fe 0.1250 0.8750 0.2500
Fe 0.2500 0.1250 0.8750
Fe 0.2500 0.6250 0.3750
Fe 0.3750 0.2500 0.6250
Fe 0.3750 0.6250 0.7500
Fe 0.5000 0.0000 0.0000
Fe 0.5000 0.0000 0.5000
Fe 0.5000 0.5000 0.0000
Fe 0.5000 0.5000 0.5000
Fe 0.6250 0.3750 0.2500
Fe 0.6250 0.7500 0.3750
Fe 0.7500 0.3750 0.6250
Fe 0.7500 0.8750 0.1250
Fe 0.8750 0.1250 0.7500
Fe 0.8750 0.2500 0.1250
N 0.0207 0.2023 0.1220
N 0.0207 0.3184 0.8987
N 0.0803 0.7023 0.6816
N 0.0803 0.8780 0.3987
N 0.1013 0.6220 0.4197
N 0.1013 0.9793 0.6816
N 0.1220 0.0207 0.2023
N 0.1220 0.6013 0.9197
N 0.1816 0.2023 0.5803
N 0.1816 0.4793 0.6013
N 0.2023 0.1220 0.0207
N 0.2023 0.5803 0.1816
N 0.2977 0.3184 0.9197
N 0.2977 0.4793 0.3780
N 0.3184 0.8987 0.0207
N 0.3184 0.9197 0.2977
N 0.3780 0.2977 0.4793
N 0.3780 0.5803 0.8987
N 0.3987 0.0803 0.8780
N 0.3987 0.8184 0.5207
N 0.4197 0.1013 0.6220
N 0.4197 0.8184 0.7977
N 0.4793 0.3780 0.2977
N 0.4793 0.6013 0.1816
N 0.5207 0.3987 0.8184
N 0.5207 0.6220 0.7023
N 0.5803 0.1816 0.2023
N 0.5803 0.8987 0.3780
N 0.6013 0.1816 0.4793
N 0.6013 0.9197 0.1220
N 0.6220 0.4197 0.1013
N 0.6220 0.7023 0.5207
N 0.6816 0.0803 0.7023
N 0.6816 0.1013 0.9793
N 0.7023 0.5207 0.6220
N 0.7023 0.6816 0.0803
N 0.7977 0.4197 0.8184
N 0.7977 0.8780 0.9793
N 0.8184 0.5207 0.3987
N 0.8184 0.7977 0.4197
N 0.8780 0.3987 0.0803
N 0.8780 0.9793 0.7977
N 0.8987 0.0207 0.3184
N 0.8987 0.3780 0.5803
N 0.9197 0.1220 0.6013
N 0.9197 0.2977 0.3184
N 0.9793 0.6816 0.1013
N 0.9793 0.7977 0.8780